Version P
# Al3SbAs

An optimized crystal structure of Al3SbAs (PBE, Alexandria via LeMat-Bulk).

```
5
Lattice="5.232 0.000 0.000 0.000 5.232 0.000 0.000 0.000 5.232" Properties=species:S:1:pos:R:3 pbc="T T T"
Al 0.000 0.000 2.616
Al 0.000 2.616 0.000
Al 2.616 0.000 0.000
Sb 0.000 0.000 0.000
As 2.616 2.616 2.616
```

Results
As for the crystal system: cubic.

=====

Version Q
# Al3SbAs

An optimized crystal structure of Al3SbAs (PBE, Alexandria via LeMat-Bulk).

```
5
Lattice="4.943 0.000 0.000 0.000 4.943 0.000 0.000 0.000 4.943" Properties=species:S:1:pos:R:3 pbc="T T T"
Al 0.000 0.000 2.471
Al 0.000 2.471 0.000
Al 2.471 0.000 0.000
Sb 2.471 2.471 2.471
As 0.000 0.000 0.000
```

Results
As for the crystal system: cubic.

=====

Which is the most stable structure? version Q is the most stable.

=====

Version P
# AlSb2TeAs

An optimized crystal structure of AlSb2TeAs (PBE, Alexandria via LeMat-Bulk).

```
5
Lattice="5.341 0.000 0.000 0.000 5.341 0.000 0.000 0.000 5.598" Properties=species:S:1:pos:R:3 pbc="T T T"
Al 0.000 0.000 0.000
Sb 0.000 2.671 2.799
Sb 2.671 0.000 2.799
Te 2.671 2.671 0.000
As 2.671 2.671 2.799
```

Results
As for the crystal system: tetragonal.

=====

Version Q
# AlSb2TeAs

An optimized crystal structure of AlSb2TeAs (PBE, Alexandria via LeMat-Bulk).

```
5
Lattice="5.261 0.000 0.000 0.000 5.261 0.000 0.000 0.000 5.186" Properties=species:S:1:pos:R:3 pbc="T T T"
Al 0.000 0.000 0.000
Sb 0.000 2.631 0.000
Sb 2.631 0.000 0.000
Te 0.000 0.000 2.593
As 2.631 2.631 2.593
```

Results
As for the crystal system: tetragonal.

=====

Which is the most stable structure? version Q is the most stable.

=====

Version P
# ScAlAs3

An optimized crystal structure of ScAlAs3 (PBE, Alexandria via LeMat-Bulk).

```
5
Lattice="5.084 0.000 0.000 0.000 5.084 0.000 0.000 0.000 5.084" Properties=species:S:1:pos:R:3 pbc="T T T"
Sc 0.000 0.000 0.000
Al 2.542 2.542 2.542
As 0.000 0.000 2.542
As 0.000 2.542 0.000
As 2.542 0.000 0.000
```

Results
As for the crystal system: cubic.

=====

Version Q
# ScAlAs3

An optimized crystal structure of ScAlAs3 (PBE, Alexandria via LeMat-Bulk).

```
5
Lattice="4.826 0.000 0.000 0.000 4.826 0.000 0.000 0.000 4.826" Properties=species:S:1:pos:R:3 pbc="T T T"
Sc 0.000 0.000 0.000
Al 2.413 2.413 2.413
As 0.000 2.413 2.413
As 2.413 0.000 2.413
As 2.413 2.413 0.000
```

Results
As for the crystal system: cubic.

=====

Which is the most stable structure? version Q is the most stable.

=====

Version P
# Sc2AlAs2

An optimized crystal structure of Sc2AlAs2 (PBE, Alexandria via LeMat-Bulk).

```
10
Lattice="7.446 0.000 0.000 0.000 7.446 0.000 0.000 0.000 3.605" Properties=species:S:1:pos:R:3 pbc="T T T"
Sc 1.093 2.630 0.000
Sc 2.630 6.353 0.000
Sc 4.816 1.093 0.000
Sc 6.353 4.816 0.000
Al 0.000 0.000 0.000
Al 3.723 3.723 0.000
As 1.202 4.925 1.802
As 2.521 1.202 1.802
As 4.925 6.244 1.802
As 6.244 2.521 1.802
```

Results
As for the crystal system: tetragonal.

=====

Version Q
# Sc2AlAs2

An optimized crystal structure of Sc2AlAs2 (PBE, Alexandria via LeMat-Bulk).

```
10
Lattice="7.257 0.000 0.000 0.000 7.257 0.000 0.000 0.000 3.652" Properties=species:S:1:pos:R:3 pbc="T T T"
Sc 1.106 2.522 0.000
Sc 2.522 6.151 0.000
Sc 4.735 1.106 0.000
Sc 6.151 4.735 0.000
Al 0.000 0.000 1.826
Al 3.629 3.629 1.826
As 1.109 4.737 1.826
As 2.520 1.109 1.826
As 4.737 6.148 1.826
As 6.148 2.520 1.826
```

Results
As for the crystal system: tetragonal.

=====

Which is the most stable structure? version Q is the most stable.

=====

Version P
# ScAl3As

An optimized crystal structure of ScAl3As (PBE, Alexandria via LeMat-Bulk).

```
5
Lattice="5.229 0.000 0.000 0.000 5.229 0.000 0.000 0.000 5.229" Properties=species:S:1:pos:R:3 pbc="T T T"
Sc 0.000 0.000 0.000
Al 0.000 0.000 2.614
Al 0.000 2.614 0.000
Al 2.614 0.000 0.000
As 2.614 2.614 2.614
```

Results
As for the crystal system: cubic.

=====

Version Q
# ScAl3As

An optimized crystal structure of ScAl3As (PBE, Alexandria via LeMat-Bulk).

```
5
Lattice="4.875 0.000 0.000 0.000 4.875 0.000 0.000 0.000 4.875" Properties=species:S:1:pos:R:3 pbc="T T T"
Sc 0.000 0.000 0.000
Al 0.000 2.438 2.438
Al 2.438 0.000 2.438
Al 2.438 2.438 0.000
As 2.438 2.438 2.438
```

Results
As for the crystal system: cubic.

=====

Which is the most stable structure? version Q is the most stable.

=====

Version P
# Sc2Al2As

An optimized crystal structure of Sc2Al2As (PBE, Alexandria via LeMat-Bulk).

```
10
Lattice="6.875 0.000 0.000 0.000 6.875 0.000 0.000 0.000 4.172" Properties=species:S:1:pos:R:3 pbc="T T T"
Sc 1.147 2.291 0.000
Sc 2.291 5.728 0.000
Sc 4.584 1.147 0.000
Sc 5.728 4.584 0.000
Al 0.905 4.342 2.086
Al 2.532 0.905 2.086
Al 4.342 5.970 2.086
Al 5.970 2.532 2.086
As 0.000 0.000 2.086
As 3.437 3.437 2.086
```

Results
As for the crystal system: tetragonal.

=====

Version Q
# Sc2Al2As

An optimized crystal structure of Sc2Al2As (PBE, Alexandria via LeMat-Bulk).

```
10
Lattice="6.945 0.000 0.000 0.000 6.945 0.000 0.000 0.000 4.394" Properties=species:S:1:pos:R:3 pbc="T T T"
Sc 1.130 2.343 0.000
Sc 2.343 5.815 0.000
Sc 4.603 1.130 0.000
Sc 5.815 4.603 0.000
Al 0.948 4.421 2.197
Al 2.525 0.948 2.197
Al 4.421 5.997 2.197
Al 5.997 2.525 2.197
As 0.000 0.000 0.000
As 3.473 3.473 0.000
```

Results
As for the crystal system: tetragonal.

=====

Which is the most stable structure? version P is the most stable.

=====

Version P
# AlAs2Se

An optimized crystal structure of AlAs2Se (PBE, Alexandria via LeMat-Bulk).

```
4
Lattice="1.848 1.067 7.921 -1.848 1.067 7.921 0.000 -2.134 7.921" Properties=species:S:1:pos:R:3 pbc="T T T"
Al 0.000 0.000 0.000
As 0.000 0.000 5.900
As 0.000 0.000 12.410
Se 0.000 0.000 17.073
```

Results
As for the crystal system: trigonal.

=====

Version Q
# AlAs2Se

An optimized crystal structure of AlAs2Se (PBE, Alexandria via LeMat-Bulk).

```
4
Lattice="6.153 -1.737 0.000 6.153 1.737 0.000 -1.657 0.000 4.365" Properties=species:S:1:pos:R:3 pbc="T T T"
Al 0.000 0.000 0.000
As 4.132 0.000 0.179
As 5.122 0.000 2.437
Se 7.425 0.000 1.446
```

Results
As for the crystal system: monoclinic.

=====

Version R
# AlAs2Se

An optimized crystal structure of AlAs2Se (PBE, Alexandria via LeMat-Bulk).

```
4
Lattice="-1.820 1.820 7.388 1.820 -1.820 7.388 1.820 1.820 -7.388" Properties=species:S:1:pos:R:3 pbc="T T T"
Al 0.000 0.000 0.000
As 1.820 0.000 3.694
As 0.000 1.820 3.694
Se 0.000 0.000 7.388
```

Results
As for the crystal system: tetragonal.

=====

Version S
# AlAs2Se

An optimized crystal structure of AlAs2Se (PBE, Alexandria via LeMat-Bulk).

```
4
Lattice="3.892 0.000 0.000 0.000 3.892 0.000 0.000 0.000 5.338" Properties=species:S:1:pos:R:3 pbc="T T T"
Al 0.000 0.000 0.000
As 0.000 0.000 2.669
As 1.946 1.946 2.669
Se 1.946 1.946 0.000
```

Results
As for the crystal system: tetragonal.

=====

Which is the most stable structure? version P is the most stable.

=====

Version P
# AlAs2Se

An optimized crystal structure of AlAs2Se (PBE, Alexandria via LeMat-Bulk).

```
4
Lattice="3.196 0.000 0.000 0.000 3.196 0.000 0.000 0.000 7.544" Properties=species:S:1:pos:R:3 pbc="T T T"
Al 0.000 0.000 0.000
As 1.598 1.598 1.550
As 1.598 1.598 5.994
Se 0.000 0.000 3.772
```

Results
As for the crystal system: tetragonal.

=====

Version Q
# AlAs2Se

An optimized crystal structure of AlAs2Se (PBE, Alexandria via LeMat-Bulk).

```
4
Lattice="0.000 3.362 3.362 3.362 0.000 3.362 3.362 3.362 0.000" Properties=species:S:1:pos:R:3 pbc="T T T"
Al 0.000 0.000 0.000
As 1.681 1.681 1.681
As 5.043 5.043 5.043
Se 3.362 3.362 3.362
```

Results
As for the crystal system: cubic.

=====

Which is the most stable structure? version P is the most stable.

=====

Version P
# AlAs2Se

An optimized crystal structure of AlAs2Se (PBE, Alexandria via LeMat-Bulk).

```
4
Lattice="-1.861 1.933 7.803 1.861 -1.933 7.803 1.861 1.933 -7.803" Properties=species:S:1:pos:R:3 pbc="T T T"
Al 0.000 0.000 0.000
As 0.000 1.933 1.596
As 0.000 0.000 10.997
Se 0.000 1.933 6.370
```

Results
As for the crystal system: orthorhombic.

=====

Version Q
# AlAs2Se

An optimized crystal structure of AlAs2Se (PBE, Alexandria via LeMat-Bulk).

```
4
Lattice="-2.701 2.701 2.755 2.701 -2.701 2.755 2.701 2.701 -2.755" Properties=species:S:1:pos:R:3 pbc="T T T"
Al 0.000 0.000 0.000
As 2.701 0.000 0.000
As 0.000 2.701 0.000
Se 0.000 0.000 2.755
```

Results
As for the crystal system: tetragonal.

=====

Which is the most stable structure? version P is the most stable.

=====

Version P
# AlTcAs2Se

An optimized crystal structure of AlTcAs2Se (PBE, Alexandria via LeMat-Bulk).

```
5
Lattice="4.788 0.000 0.000 0.000 4.788 0.000 0.000 0.000 4.855" Properties=species:S:1:pos:R:3 pbc="T T T"
Al 0.000 0.000 0.000
Tc 2.394 2.394 2.428
As 0.000 2.394 0.000
As 2.394 0.000 0.000
Se 0.000 0.000 2.428
```

Results
As for the crystal system: tetragonal.

=====

Version Q
# AlTcAs2Se

An optimized crystal structure of AlTcAs2Se (PBE, Alexandria via LeMat-Bulk).

```
5
Lattice="4.660 0.000 0.000 0.000 4.660 0.000 0.000 0.000 5.554" Properties=species:S:1:pos:R:3 pbc="T T T"
Al 0.000 0.000 0.000
Tc 2.330 2.330 2.777
As 0.000 2.330 2.777
As 2.330 0.000 2.777
Se 2.330 2.330 0.000
```

Results
As for the crystal system: tetragonal.

=====

Which is the most stable structure? version Q is the most stable.

=====

Version P
# AlTcAsSe2

An optimized crystal structure of AlTcAsSe2 (PBE, Alexandria via LeMat-Bulk).

```
5
Lattice="4.990 0.000 0.000 0.000 4.990 0.000 0.000 0.000 4.735" Properties=species:S:1:pos:R:3 pbc="T T T"
Al 0.000 0.000 0.000
Tc 2.495 2.495 2.367
As 2.495 2.495 0.000
Se 0.000 2.495 2.367
Se 2.495 0.000 2.367
```

Results
As for the crystal system: tetragonal.

=====

Version Q
# AlTcAsSe2

An optimized crystal structure of AlTcAsSe2 (PBE, Alexandria via LeMat-Bulk).

```
5
Lattice="4.857 0.000 0.000 0.000 4.857 0.000 0.000 0.000 4.827" Properties=species:S:1:pos:R:3 pbc="T T T"
Al 0.000 0.000 0.000
Tc 2.428 2.428 2.414
As 0.000 0.000 2.414
Se 0.000 2.428 0.000
Se 2.428 0.000 0.000
```

Results
As for the crystal system: tetragonal.

=====

Which is the most stable structure? version P is the most stable.

=====

Version P
# TiAlAs2Se

An optimized crystal structure of TiAlAs2Se (PBE, Alexandria via LeMat-Bulk).

```
5
Lattice="4.762 0.000 0.000 0.000 4.762 0.000 0.000 0.000 4.885" Properties=species:S:1:pos:R:3 pbc="T T T"
Ti 0.000 0.000 0.000
Al 2.381 2.381 2.442
As 0.000 2.381 2.442
As 2.381 0.000 2.442
Se 2.381 2.381 0.000
```

Results
As for the crystal system: tetragonal.

=====

Version Q
# TiAlAs2Se

An optimized crystal structure of TiAlAs2Se (PBE, Alexandria via LeMat-Bulk).

```
5
Lattice="4.931 0.000 0.000 0.000 4.931 0.000 0.000 0.000 4.910" Properties=species:S:1:pos:R:3 pbc="T T T"
Ti 0.000 0.000 0.000
Al 2.466 2.466 2.455
As 0.000 2.466 0.000
As 2.466 0.000 0.000
Se 0.000 0.000 2.455
```

Results
As for the crystal system: tetragonal.

=====

Which is the most stable structure? version Q is the most stable.